Record 1
Entry from Alexandria: a relaxed structure of TaAg3Br2Cl6 (PBE).

Cell and atoms, written as CIF:
```
data_TaAg3Br2Cl6
_symmetry_space_group_name_H-M 'C 1 2/m 1'
_symmetry_Int_Tables_number 12
_symmetry_space_group_name_Hall '-C 2y'
_cell_length_a 15.0198
_cell_length_b 7.8135
_cell_length_c 6.3506
_cell_angle_alpha 90.00
_cell_angle_beta 106.43
_cell_angle_gamma 90.00
loop_
_atom_site_label
_atom_site_fract_x
_atom_site_fract_y
_atom_site_fract_z
Ta1 0.0000 0.0000 0.0000
Ag1 0.0000 0.5000 0.5000
Ag2 0.2500 0.2500 0.0000
Br1 0.1709 0.5000 0.7383
Cl1 0.0899 0.2157 0.2257
Cl2 0.1043 0.0000 0.7778
```

Summary:
Magnetization   0.0 Bohr magnetons per cell
ρ   4.07 g cm⁻³
ΔE_f (raw)   -0.83 eV/atom
Crystal system   monoclinic
Density of states at the Fermi level   0.000 states/eV/atom

***

Record 2
Entry from Alexandria: a relaxed structure of TaOsS (PBE).

Cell and atoms, written as CIF:
```
data_TaOsS
_symmetry_space_group_name_H-M 'P -6 m 2'
_symmetry_Int_Tables_number 187
_symmetry_space_group_name_Hall 'P -6 2'
_cell_length_a 2.9924
_cell_length_b 2.9924
_cell_length_c 12.4116
_cell_angle_alpha 90.00
_cell_angle_beta 90.00
_cell_angle_gamma 120.00
loop_
_atom_site_label
_atom_site_fract_x
_atom_site_fract_y
_atom_site_fract_z
Ta1 0.0000 0.0000 0.1759
Os1 0.3333 0.6667 0.0000
Os2 0.3333 0.6667 0.5000
S1 0.3333 0.6667 0.3168
```

Summary:
Magnetization   0.0 Bohr magnetons per cell
ρ   13.91 g cm⁻³
ΔE_f (raw)   -0.14 eV/atom
Crystal system   hexagonal
Density of states at the Fermi level   0.827 states/eV/atom

***

Record 3
Entry from Alexandria: a relaxed structure of TlHgTe2I (PBE).

Cell and atoms, written as CIF:
```
data_TlHgTe2I
_symmetry_space_group_name_H-M 'P 4/m m m'
_symmetry_Int_Tables_number 123
_symmetry_space_group_name_Hall '-P 4 2'
_cell_length_a 5.6309
_cell_length_b 5.6309
_cell_length_c 6.3230
_cell_angle_alpha 90.00
_cell_angle_beta 90.00
_cell_angle_gamma 90.00
loop_
_atom_site_label
_atom_site_fract_x
_atom_site_fract_y
_atom_site_fract_z
Tl1 0.0000 0.0000 0.0000
Hg1 0.5000 0.5000 0.5000
Te1 0.0000 0.5000 0.5000
I1 0.5000 0.5000 0.0000
```

Summary:
Magnetization   0.0 Bohr magnetons per cell
ρ   6.52 g cm⁻³
ΔE_f (raw)   0.13 eV/atom
Crystal system   tetragonal
Density of states at the Fermi level   1.432 states/eV/atom
Distance to the lowest polymorph of the same formula   0.0 meV per atom

***

Record 4
Entry from Alexandria: a relaxed structure of Nd2CuTeO6 (PBE).

Cell and atoms, written as CIF:
```
data_Nd2CuTeO6
_symmetry_space_group_name_H-M 'R 3'
_symmetry_Int_Tables_number 146
_symmetry_space_group_name_Hall 'R 3'
_cell_length_a 5.8249
_cell_length_b 5.8249
_cell_length_c 14.4037
_cell_angle_alpha 90.00
_cell_angle_beta 90.00
_cell_angle_gamma 120.00
loop_
_atom_site_label
_atom_site_fract_x
_atom_site_fract_y
_atom_site_fract_z
Nd1 0.0000 0.0000 0.0000
Nd2 0.0000 0.0000 0.4964
Cu1 0.0000 0.0000 0.2244
Te1 0.0000 0.0000 0.7221
O1 0.0707 0.3503 0.7942
O2 0.0769 0.7109 0.2958
```

Summary:
Magnetization   0.0 Bohr magnetons per cell
ρ   6.77 g cm⁻³
ΔE_f (raw)   -2.01 eV/atom
Crystal system   trigonal
Density of states at the Fermi level   0.225 states/eV/atom

***

Record 5
Entry from Alexandria: a relaxed structure of YHPd2Pt (PBE).

Cell and atoms, written as CIF:
```
data_YHPd2Pt
_symmetry_space_group_name_H-M 'P 4/m m m'
_symmetry_Int_Tables_number 123
_symmetry_space_group_name_Hall '-P 4 2'
_cell_length_a 4.1821
_cell_length_b 4.1821
_cell_length_c 4.1533
_cell_angle_alpha 90.00
_cell_angle_beta 90.00
_cell_angle_gamma 90.00
loop_
_atom_site_label
_atom_site_fract_x
_atom_site_fract_y
_atom_site_fract_z
Y1 0.0000 0.0000 0.0000
H1 0.5000 0.5000 0.5000
Pd1 0.0000 0.5000 0.5000
Pt1 0.5000 0.5000 0.0000
```

Summary:
Magnetization   0.0 Bohr magnetons per cell
ρ   11.38 g cm⁻³
Crystal system   tetragonal
Density of states at the Fermi level   0.206 states/eV/atom
Distance to the lowest polymorph of the same formula   0.0 meV per atom

***

Record 6
Entry from Alexandria: a relaxed structure of FeSiRh2 (PBE).

Cell and atoms, written as CIF:
```
data_FeSiRh2
_symmetry_space_group_name_H-M 'P m m m'
_symmetry_Int_Tables_number 47
_symmetry_space_group_name_Hall '-P 2 2'
_cell_length_a 2.8947
_cell_length_b 4.1009
_cell_length_c 4.5006
_cell_angle_alpha 90.00
_cell_angle_beta 90.00
_cell_angle_gamma 90.00
loop_
_atom_site_label
_atom_site_fract_x
_atom_site_fract_y
_atom_site_fract_z
Fe1 0.0000 0.0000 0.0000
Si1 0.5000 0.0000 0.5000
Rh1 0.0000 0.5000 0.5000
Rh2 0.5000 0.5000 0.0000
```

Summary:
Magnetization   3.1 Bohr magnetons per cell
ρ   9.01 g cm⁻³
ΔE_f (raw)   -0.18 eV/atom
Crystal system   orthorhombic
Density of states at the Fermi level   1.020 states/eV/atom

***

Record 7
Entry from Alexandria: a relaxed structure of LiV2SnN (PBE).

Cell and atoms, written as CIF:
```
data_LiV2SnN
_symmetry_space_group_name_H-M 'P 4/m m m'
_symmetry_Int_Tables_number 123
_symmetry_space_group_name_Hall '-P 4 2'
_cell_length_a 3.9467
_cell_length_b 3.9467
_cell_length_c 4.2206
_cell_angle_alpha 90.00
_cell_angle_beta 90.00
_cell_angle_gamma 90.00
loop_
_atom_site_label
_atom_site_fract_x
_atom_site_fract_y
_atom_site_fract_z
Li1 0.0000 0.0000 0.0000
V1 0.0000 0.5000 0.5000
Sn1 0.5000 0.5000 0.0000
N1 0.0000 0.0000 0.5000
```

Summary:
Magnetization   0.0 Bohr magnetons per cell
ρ   6.10 g cm⁻³
ΔE_f (raw)   -0.50 eV/atom
Crystal system   tetragonal
Density of states at the Fermi level   0.766 states/eV/atom

***

Record 8
Entry from Alexandria: a relaxed structure of TaBeNi4 (PBE).

Cell and atoms, written as CIF:
```
data_TaBeNi4
_symmetry_space_group_name_H-M 'F -4 3 m'
_symmetry_Int_Tables_number 216
_symmetry_space_group_name_Hall 'F -4 2 3'
_cell_length_a 6.5875
_cell_length_b 6.5875
_cell_length_c 6.5875
_cell_angle_alpha 90.00
_cell_angle_beta 90.00
_cell_angle_gamma 90.00
loop_
_atom_site_label
_atom_site_fract_x
_atom_site_fract_y
_atom_site_fract_z
Ta1 0.0000 0.0000 0.0000
Be1 0.2500 0.2500 0.7500
Ni1 0.1245 0.1245 0.3755
```

Summary:
Magnetization   0.0 Bohr magnetons per cell
ρ   9.87 g cm⁻³
E_form   -135 meV/atom
Crystal system   cubic
Density of states at the Fermi level   0.703 states/eV/atom